No. 1
Material: Hf4FeAuN2
Method: DFT, GGA-PBE
State: optimized geometry

CIF file:
```
data_Hf4FeAuN2
_chemical_formula_sum 'Hf4 Fe1 Au1 N2'
_symmetry_space_group_name_H-M 'P -6 m 2'
_symmetry_Int_Tables_number 187
_symmetry_space_group_name_Hall 'P -6 2'
_cell_length_a 3.2019
_cell_length_b 3.2019
_cell_length_c 13.5995
_cell_angle_alpha 90.00
_cell_angle_beta 90.00
_cell_angle_gamma 120.00
loop_
_atom_site_label
_atom_site_type_symbol
_atom_site_fract_x
_atom_site_fract_y
_atom_site_fract_z
_atom_site_occupancy
Hf1 Hf 0.0000 0.0000 0.1414 1
Hf2 Hf 0.3333 0.6667 0.3337 1
Fe1 Fe 0.3333 0.6667 0.0000 1
Au1 Au 0.0000 0.0000 0.5000 1
N1 N 0.6667 0.3333 0.2417 1
```



No. 2
Material: HfFeSiAu
Method: DFT, GGA-PBE
State: optimized geometry

CIF file:
```
data_HfFeSiAu
_chemical_formula_sum 'Hf4 Fe4 Si4 Au4'
_symmetry_space_group_name_H-M 'F -4 3 m'
_symmetry_Int_Tables_number 216
_symmetry_space_group_name_Hall 'F -4 2 3'
_cell_length_a 6.333
_cell_length_b 6.333
_cell_length_c 6.333
_cell_angle_alpha 90.00
_cell_angle_beta 90.00
_cell_angle_gamma 90.00
loop_
_atom_site_label
_atom_site_type_symbol
_atom_site_fract_x
_atom_site_fract_y
_atom_site_fract_z
_atom_site_occupancy
Hf1 Hf 0.000 0.000 0.000 1
Fe1 Fe 0.250 0.250 0.750 1
Si1 Si 0.000 0.000 0.500 1
Au1 Au 0.250 0.250 0.250 1
```

Values from the calculation:
As for the energy above the lowest structure with this stoichiometry: 49 meV/atom.



No. 3
Material: HfFeSiAu
Method: DFT, GGA-PBE
State: optimized geometry

CIF file:
```
data_HfFeSiAu
_chemical_formula_sum 'Hf4 Fe4 Si4 Au4'
_symmetry_space_group_name_H-M 'F -4 3 m'
_symmetry_Int_Tables_number 216
_symmetry_space_group_name_Hall 'F -4 2 3'
_cell_length_a 6.374
_cell_length_b 6.374
_cell_length_c 6.374
_cell_angle_alpha 90.00
_cell_angle_beta 90.00
_cell_angle_gamma 90.00
loop_
_atom_site_label
_atom_site_type_symbol
_atom_site_fract_x
_atom_site_fract_y
_atom_site_fract_z
_atom_site_occupancy
Hf1 Hf 0.000 0.000 0.000 1
Fe1 Fe 0.000 0.000 0.500 1
Si1 Si 0.250 0.250 0.250 1
Au1 Au 0.250 0.250 0.750 1
```

Values from the calculation:
As for the energy above the lowest structure with this stoichiometry: 0 meV/atom.



No. 4
Material: HfFeSnAu
Method: DFT, GGA-PBE
State: optimized geometry

CIF file:
```
data_HfFeSnAu
_chemical_formula_sum 'Hf4 Fe4 Sn4 Au4'
_symmetry_space_group_name_H-M 'F -4 3 m'
_symmetry_Int_Tables_number 216
_symmetry_space_group_name_Hall 'F -4 2 3'
_cell_length_a 6.552
_cell_length_b 6.552
_cell_length_c 6.552
_cell_angle_alpha 90.00
_cell_angle_beta 90.00
_cell_angle_gamma 90.00
loop_
_atom_site_label
_atom_site_type_symbol
_atom_site_fract_x
_atom_site_fract_y
_atom_site_fract_z
_atom_site_occupancy
Hf1 Hf 0.000 0.000 0.000 1
Fe1 Fe 0.250 0.250 0.750 1
Sn1 Sn 0.000 0.000 0.500 1
Au1 Au 0.250 0.250 0.250 1
```

Values from the calculation:
As for the energy above the lowest structure with this stoichiometry: 0 meV/atom.



Result set for total DFT energy (no corrections): -75.577 -109.218 -110.007 -103.778 eV/cell, one per record in the order listed.